The following is a PBE+U calculation of a relaxed Na2MgMoF8 crystal, from the Alexandria database.

E   -5.05 eV/atom
Total magnetic moment   2.0 μB per cell
Density of states at the Fermi level   0.000 states/eV/atom
Volume   170.6 Å³/f.u.

```
data_Na2MgMoF8
_space_group_name_H-M_alt 'P 1'
_space_group_IT_number 1
_cell_length_a 5.074
_cell_length_b 5.077
_cell_length_c 6.631
_cell_angle_alpha 89.54
_cell_angle_beta 89.54
_cell_angle_gamma 87.03
loop_
_space_group_symop_operation_xyz
'x,y,z'
loop_
_atom_site_label
_atom_site_type_symbol
_atom_site_fract_x
_atom_site_fract_y
_atom_site_fract_z
_atom_site_occupancy
Na1 Na 0.005 0.005 0.232 1
Na2 Na 0.995 0.995 0.768 1
Mg1 Mg 0.500 0.500 0.000 1
Mo1 Mo 0.500 0.500 0.500 1
F1 F 0.217 0.781 0.500 1
F2 F 0.228 0.771 0.000 1
F3 F 0.325 0.324 0.734 1
F4 F 0.327 0.326 0.261 1
F5 F 0.673 0.674 0.739 1
F6 F 0.675 0.676 0.266 1
F7 F 0.772 0.229 0.000 1
F8 F 0.783 0.219 0.500 1
```